Entry 1:
# PBE ZrGa2As, optimized geometry
# magnetic moment: 0.025 μB per cell
# uncorrected energy: -78.48 eV/cell
data_ZrGa2As
_cell_length_a 6.750
_cell_length_b 6.750
_cell_length_c 6.750
_cell_angle_alpha 90.00
_cell_angle_beta 90.00
_cell_angle_gamma 90.00
_symmetry_space_group_name_H-M 'F -4 3 m'
_symmetry_Int_Tables_number 216
_symmetry_space_group_name_Hall 'F -4 2 3'
loop_
_atom_site_label
_atom_site_type_symbol
_atom_site_fract_x
_atom_site_fract_y
_atom_site_fract_z
Zr1 Zr 0.000 0.000 0.000
Ga1 Ga 0.000 0.000 0.500
Ga2 Ga 0.250 0.250 0.250
As1 As 0.250 0.250 0.750

=====

Entry 2:
# PBE Gd3As2, optimized geometry
# magnetic moment: 0.005 μB per cell
# uncorrected energy: -29.04 eV/cell
data_Gd3As2
_cell_length_a 4.1666
_cell_length_b 4.1666
_cell_length_c 9.2408
_cell_angle_alpha 90.00
_cell_angle_beta 90.00
_cell_angle_gamma 120.00
_symmetry_space_group_name_H-M 'P -3 m 1'
_symmetry_Int_Tables_number 164
_symmetry_space_group_name_Hall '-P 3 2"'
loop_
_atom_site_label
_atom_site_type_symbol
_atom_site_fract_x
_atom_site_fract_y
_atom_site_fract_z
Gd1 Gd 0.0000 0.0000 0.0000
Gd2 Gd 0.3333 0.6667 0.3436
As1 As 0.3333 0.6667 0.8192

=====

Entry 3:
# PBE Gd3As4, optimized geometry
# magnetic moment: 0.040 μB per cell
# uncorrected energy: -323.27 eV/cell
data_Gd3As4
_cell_length_a 14.862
_cell_length_b 16.332
_cell_length_c 5.461
_cell_angle_alpha 90.00
_cell_angle_beta 90.00
_cell_angle_gamma 90.00
_symmetry_space_group_name_H-M 'F d d 2'
_symmetry_Int_Tables_number 43
_symmetry_space_group_name_Hall 'F 2 -2d'
loop_
_atom_site_label
_atom_site_type_symbol
_atom_site_fract_x
_atom_site_fract_y
_atom_site_fract_z
Gd1 Gd 0.000 0.000 0.000
Gd2 Gd 0.003 0.166 0.460
As1 As 0.094 0.341 0.439
As2 As 0.108 0.481 0.037

=====

Entry 4:
# PBE GdGeAs, optimized geometry
# magnetic moment: 0.007 μB per cell
# uncorrected energy: -58.88 eV/cell
data_GdGeAs
_cell_length_a 6.815
_cell_length_b 6.815
_cell_length_c 6.815
_cell_angle_alpha 90.00
_cell_angle_beta 90.00
_cell_angle_gamma 90.00
_symmetry_space_group_name_H-M 'F -4 3 m'
_symmetry_Int_Tables_number 216
_symmetry_space_group_name_Hall 'F -4 2 3'
loop_
_atom_site_label
_atom_site_type_symbol
_atom_site_fract_x
_atom_site_fract_y
_atom_site_fract_z
Gd1 Gd 0.000 0.000 0.000
Ge1 Ge 0.250 0.250 0.250
As1 As 0.250 0.250 0.750

=====

Entry 5:
# PBE GdGeAs, optimized geometry
# magnetic moment: 0.030 μB per cell
# uncorrected energy: -58.93 eV/cell
data_GdGeAs
_cell_length_a 6.733
_cell_length_b 6.733
_cell_length_c 6.733
_cell_angle_alpha 90.00
_cell_angle_beta 90.00
_cell_angle_gamma 90.00
_symmetry_space_group_name_H-M 'F -4 3 m'
_symmetry_Int_Tables_number 216
_symmetry_space_group_name_Hall 'F -4 2 3'
loop_
_atom_site_label
_atom_site_type_symbol
_atom_site_fract_x
_atom_site_fract_y
_atom_site_fract_z
Gd1 Gd 0.000 0.000 0.000
Ge1 Ge 0.250 0.250 0.750
As1 As 0.000 0.000 0.500

=====

Entry 6:
# PBE GdGeAsO, optimized geometry
# magnetic moment: 0.001 μB per cell
# E above lowest polymorph: 0.500 eV per atom
# uncorrected energy: -45.68 eV/cell
data_GdGeAsO
_cell_length_a 5.740
_cell_length_b 5.740
_cell_length_c 4.895
_cell_angle_alpha 90.00
_cell_angle_beta 90.00
_cell_angle_gamma 90.00
_symmetry_space_group_name_H-M 'P 4/n m m'
_symmetry_Int_Tables_number 129
loop_
_symmetry_equiv_pos_as_xyz
'x,y,z'
'-x,-y,-z'
'-y+1/2,x,z'
'y+1/2,-x,-z'
'-x+1/2,-y+1/2,z'
'x+1/2,y+1/2,-z'
'y,-x+1/2,z'
'-y,x+1/2,-z'
'x+1/2,-y,-z'
'-x+1/2,y,z'
'-y,-x,-z'
'y,x,z'
'-x,y+1/2,-z'
'x,-y+1/2,z'
'y+1/2,x+1/2,-z'
'-y+1/2,-x+1/2,z'
loop_
_atom_site_label
_atom_site_type_symbol
_atom_site_fract_x
_atom_site_fract_y
_atom_site_fract_z
Gd1 Gd 0.250 0.750 0.000
Ge1 Ge 0.250 0.250 0.491
As1 As 0.250 0.250 0.990
O1 O 0.250 0.750 0.500